## i
Entry from the Alexandria database: a relaxed structure of LiPm4Co (PBE).

Summary:
Space group   No. 216

a b c (Å): 9.7685 9.7685 9.7685
angles (deg): 60.00 60.00 60.00
With the nearest neighbours (Å) after each atom.
Atoms (fractional coordinates):
Pm (0.4057, 0.4057, 0.7829)  3 Co 2.82
Pm (0.9360, 0.5640, 0.5640)  2 Co 2.83
Pm (0.5640, 0.5640, 0.9360)  2 Co 2.83
Pm (0.5640, 0.9360, 0.5640)  2 Co 2.83
Pm (0.7829, 0.4057, 0.4057)  3 Co 2.82
Pm (0.1887, 0.8113, 0.1887)  2 Li 3.38, 2 Co 3.51, 10 Pm 3.52-3.69
Pm (0.1887, 0.1887, 0.8113)  2 Li 3.38, 2 Co 3.51, 10 Pm 3.52-3.69
Pm (0.9360, 0.5640, 0.9360)  2 Co 2.83
Pm (0.8113, 0.1887, 0.8113)  2 Li 3.38, 2 Co 3.51, 10 Pm 3.52-3.69
Pm (0.5640, 0.9360, 0.9360)  2 Co 2.83
Pm (0.8113, 0.1887, 0.1887)  2 Li 3.38, 2 Co 3.51, 10 Pm 3.52-3.69
Pm (0.1887, 0.8113, 0.8113)  2 Li 3.38, 2 Co 3.51, 10 Pm 3.52-3.69
Pm (0.8113, 0.8113, 0.1887)  2 Li 3.38, 2 Co 3.51, 10 Pm 3.52-3.69
Pm (0.4057, 0.4057, 0.4057)  3 Co 2.82
Pm (0.9360, 0.9360, 0.5640)  2 Co 2.83
Pm (0.4057, 0.7829, 0.4057)  3 Co 2.82
Li (0.1725, 0.1725, 0.4825)  3 Li 3.03, 3 Pm 3.38
Li (0.4825, 0.1725, 0.1725)  3 Li 3.03, 3 Pm 3.38
Li (0.1725, 0.4825, 0.1725)  3 Li 3.03, 3 Pm 3.38
Li (0.1725, 0.1725, 0.1725)  3 Li 3.03, 3 Pm 3.38
Co (0.6088, 0.1735, 0.6088)  6 Pm 2.82-2.83
Co (0.6088, 0.6088, 0.1735)  6 Pm 2.82-2.83
Co (0.1735, 0.6088, 0.6088)  6 Pm 2.82-2.83
Co (0.6088, 0.6088, 0.6088)  6 Pm 2.82-2.83



## ii
Entry from the Alexandria database: a relaxed structure of LiPm4Co (PBE).

Summary:
Space group   No. 1

a b c (Å): 3.5789 6.6322 8.4747
angles (deg): 65.09 102.09 74.26
With the nearest neighbours (Å) after each atom.
Atoms (fractional coordinates):
Pm (0.6561, 0.9902, 0.7964)  2 Co 3.02-3.04, 2 Li 3.24-3.25, 2 Pm 3.33-3.38
Pm (0.2149, 0.4140, 0.3435)  2 Co 2.91, 2 Li 3.18-3.19
Pm (0.3466, 0.0043, 0.2001)  2 Co 3.03-3.04, 2 Li 3.24-3.25, 2 Pm 3.33-3.38
Pm (0.7875, 0.5807, 0.6526)  2 Co 2.91, 2 Li 3.18
Li (0.5012, 0.4973, 0.9977)  8 Pm 3.18-3.25
Co (0.0015, 0.9973, 0.4986)  8 Pm 2.91-3.04



Verdict on stability: ii comes out at the bottom.



## i
Entry from the Alexandria database: a relaxed structure of LiPm3Co (PBE).

Summary:
Space group   No. 12

a b c (Å): 7.2852 7.2758 7.7234
angles (deg): 90.01 61.74 60.02
With the nearest neighbours (Å) after each atom.
Atoms (fractional coordinates):
Pm (0.8963, 0.0063, 0.4721)  2 Co 2.67-2.77
Pm (0.3900, 0.5130, 0.4725)  2 Co 2.67-2.77
Pm (0.5302, 0.1901, 0.0070)  2 Co 2.67-2.77
Pm (0.0363, 0.6834, 0.0067)  2 Co 2.67-2.77
Pm (0.3895, 0.0070, 0.4724)  2 Co 2.67-2.77
Pm (0.0369, 0.1895, 0.0068)  2 Co 2.67-2.77
Co (0.0510, 0.9295, 0.7325)  6 Pm 2.67-2.77
Co (0.3755, 0.2670, 0.7467)  6 Pm 2.67-2.77
Li (0.5494, 0.6802, 0.9846)  1 Li 3.17
Li (0.8769, 0.5162, 0.4943)  1 Li 3.17



## ii
Entry from the Alexandria database: a relaxed structure of LiPm3Co (PBE).

Summary:
Space group   No. 221

a b c (Å): 5.3686 5.3686 5.3686
angles (deg): 90.00 90.00 90.00
With the nearest neighbours (Å) after each atom.
Atoms (fractional coordinates):
Pm (0.0000, 0.0000, 0.5000)  2 Co 2.68
Pm (0.5000, 0.0000, 0.0000)  2 Co 2.68
Pm (0.0000, 0.5000, 0.0000)  2 Co 2.68
Li (0.5000, 0.5000, 0.5000)  12 Pm 3.80
Co (0.0000, 0.0000, 0.0000)  6 Pm 2.68



Verdict on stability: i comes out at the bottom.



## i
Entry from the Alexandria database: a relaxed structure of LiPrCo (PBE).

Summary:
Space group   No. 12

a b c (Å): 3.9146 5.2484 6.7872
angles (deg): 98.68 106.76 90.00
With the nearest neighbours (Å) after each atom.
Atoms (fractional coordinates):
Pr (0.8664, 0.6525, 0.7327)  4 Co 2.90-3.00
Pr (0.1336, 0.3475, 0.2673)  4 Co 2.90-3.00
Co (0.2365, 0.8950, 0.4731)  2 Co 2.25, 1 Li 2.50
Co (0.7635, 0.1050, 0.5269)  2 Co 2.25, 1 Li 2.50
Li (0.5899, 0.8214, 0.1799)  3 Co 2.50-2.72
Li (0.4101, 0.1786, 0.8201)  3 Co 2.50-2.72



## ii
Entry from the Alexandria database: a relaxed structure of LiPrCo (PBE).

Summary:
Space group   No. 12

a b c (Å): 3.9148 3.9081 11.7972
angles (deg): 90.02 80.46 60.06
With the nearest neighbours (Å) after each atom.
Atoms (fractional coordinates):
Co (0.8325, 0.8547, 0.2902)  3 Co 2.26
Co (0.4989, 0.5214, 0.2914)  3 Co 2.26
Li (0.5557, 0.9929, 0.7044)  3 Li 3.02
Li (0.7750, 0.3833, 0.8772)  3 Li 3.02
Pr (0.2762, 0.1325, 0.1239)  6 Co 2.97-2.98
Pr (0.0551, 0.2436, 0.4576)  6 Co 2.97-2.98



Verdict on stability: i comes out at the bottom.



## i
Entry from the Alexandria database: a relaxed structure of LiPu2Co (PBE).

Summary:
Space group   No. 166

a b c (Å): 2.6952 2.6952 10.7164
angles (deg): 82.78 82.78 60.00
With the nearest neighbours (Å) after each atom.
Atoms (fractional coordinates):
Pu (0.9081, 0.9081, 0.2758)  6 Pu 2.70, 3 Co 2.84, 1 Li 2.92
Pu (0.0919, 0.0919, 0.7242)  6 Pu 2.70, 3 Co 2.84, 1 Li 2.92
Li (0.0000, 0.0000, 0.0000)  6 Li 2.70, 2 Pu 2.92
Co (0.5000, 0.5000, 0.5000)  6 Co 2.70, 6 Pu 2.84



## ii
Entry from the Alexandria database: a relaxed structure of LiPu2Co (PBE).

Summary:
Space group   No. 123

a b c (Å): 3.1919 3.1919 8.5090
angles (deg): 90.00 90.00 90.00
With the nearest neighbours (Å) after each atom.
Atoms (fractional coordinates):
Pu (0.0000, 0.0000, 0.1983)  4 Co 2.82
Pu (0.0000, 0.0000, 0.8017)  4 Co 2.82
Co (0.5000, 0.5000, 0.0000)  8 Pu 2.82
Li (0.5000, 0.5000, 0.5000)  4 Li 3.19, 8 Pu 3.42



## iii
Entry from the Alexandria database: a relaxed structure of LiPu2Co (PBE).

Summary:
Space group   No. 123

a b c (Å): 3.7515 4.5512 4.5512
angles (deg): 90.00 90.00 90.00
With the nearest neighbours (Å) after each atom.
Atoms (fractional coordinates):
Pu (0.0000, 0.5000, 0.0000)  4 Li 2.95, 4 Co 2.95, 4 Pu 3.22
Pu (0.0000, 0.0000, 0.5000)  4 Li 2.95, 4 Co 2.95, 4 Pu 3.22
Co (0.5000, 0.0000, 0.0000)  8 Pu 2.95, 4 Li 3.22
Li (0.5000, 0.5000, 0.5000)  8 Pu 2.95, 4 Co 3.22



Verdict on stability: i comes out at the bottom.



## i
Entry from the Alexandria database: a relaxed structure of RbLi3Co (PBE).

Summary:
Space group   No. 221

a b c (Å): 5.0250 5.0250 5.0250
angles (deg): 90.00 90.00 90.00
With the nearest neighbours (Å) after each atom.
Atoms (fractional coordinates):
Li (0.0000, 0.5000, 0.0000)  2 Rb 2.51
Li (0.5000, 0.0000, 0.0000)  2 Rb 2.51
Li (0.0000, 0.0000, 0.5000)  2 Rb 2.51
Co (0.5000, 0.5000, 0.5000)  12 Li 3.55
Rb (0.0000, 0.0000, 0.0000)  6 Li 2.51



## ii
Entry from the Alexandria database: a relaxed structure of RbLi3Co (PBE).

Summary:
Space group   No. 221

a b c (Å): 5.1599 5.1599 5.1599
angles (deg): 90.00 90.00 90.00
With the nearest neighbours (Å) after each atom.
Atoms (fractional coordinates):
Li (0.5000, 0.0000, 0.0000)  2 Co 2.58
Li (0.0000, 0.0000, 0.5000)  2 Co 2.58
Li (0.0000, 0.5000, 0.0000)  2 Co 2.58
Co (0.0000, 0.0000, 0.0000)  6 Li 2.58
Rb (0.5000, 0.5000, 0.5000)  12 Li 3.65



Verdict on stability: i comes out at the bottom.



## i
Entry from the Alexandria database: a relaxed structure of RbLi2Co2 (PBE).

Summary:
Space group   No. 127

a b c (Å): 8.3242 8.3242 2.8121
angles (deg): 90.00 90.00 90.00
With the nearest neighbours (Å) after each atom.
Atoms (fractional coordinates):
Co (0.4061, 0.0939, 0.5000)  1 Co 2.21
Co (0.5939, 0.9061, 0.5000)  1 Co 2.21
Co (0.9061, 0.4061, 0.5000)  1 Co 2.21
Co (0.0939, 0.5939, 0.5000)  1 Co 2.21
Li (0.8313, 0.6687, 0.0000)  4 Co 2.67, 2 Li 2.81
Li (0.6687, 0.1687, 0.0000)  4 Co 2.67, 2 Li 2.81
Li (0.1687, 0.3313, 0.0000)  4 Co 2.67, 2 Li 2.81
Li (0.3313, 0.8313, 0.0000)  4 Co 2.67, 2 Li 2.81
Rb (0.0000, 0.0000, 0.0000)  2 Rb 2.81, 4 Li 3.09
Rb (0.5000, 0.5000, 0.0000)  2 Rb 2.81, 4 Li 3.09



## ii
Entry from the Alexandria database: a relaxed structure of RbLi2Co2 (PBE).

Summary:
Space group   No. 139

a b c (Å): 3.3291 3.3291 11.2017
angles (deg): 81.45 81.45 90.00
With the nearest neighbours (Å) after each atom.
Atoms (fractional coordinates):
Li (0.3437, 0.3437, 0.3125)  4 Co 2.64
Li (0.6563, 0.6563, 0.6875)  4 Co 2.64
Rb (0.0000, 0.0000, 0.0000)  4 Rb 3.33
Co (0.7500, 0.2500, 0.5000)  4 Co 2.35
Co (0.2500, 0.7500, 0.5000)  4 Co 2.35



Verdict on stability: i comes out at the bottom.



## i
Entry from the Alexandria database: a relaxed structure of LiCoRe2 (PBE).

Summary:
Space group   No. 216

a b c (Å): 4.1985 4.1985 4.1985
angles (deg): 60.00 60.00 60.00
With the nearest neighbours (Å) after each atom.
Atoms (fractional coordinates):
Co (0.5000, 0.5000, 0.5000)  4 Li 2.57, 4 Re 2.57
Re (0.2500, 0.2500, 0.2500)  4 Re 2.57, 4 Co 2.57
Re (0.0000, 0.0000, 0.0000)  4 Re 2.57, 4 Li 2.57
Li (0.7500, 0.7500, 0.7500)  4 Co 2.57, 4 Re 2.57



## ii
Entry from the Alexandria database: a relaxed structure of LiCoRe2 (PBE).

Summary:
Space group   No. 160

a b c (Å): 9.0454 9.0454 9.0454
angles (deg): 17.28 17.28 17.28
With the nearest neighbours (Å) after each atom.
Atoms (fractional coordinates):
Re (0.9961, 0.9961, 0.9961)  9 Re 2.69-2.72, 3 Li 2.90
Re (0.2476, 0.2476, 0.2476)  3 Co 2.62, 9 Re 2.69-2.72
Li (0.7540, 0.7540, 0.7540)  3 Co 2.69, 6 Li 2.72, 3 Re 2.90
Co (0.5023, 0.5023, 0.5023)  3 Re 2.62, 3 Li 2.69, 6 Co 2.72



Verdict on stability: ii comes out at the bottom.



## i
Entry from the Alexandria database: a relaxed structure of LiCoRe2 (PBE).

Summary:
Space group   No. 166

a b c (Å): 9.1056 9.1056 9.1056
angles (deg): 16.91 16.91 16.91
With the nearest neighbours (Å) after each atom.
Atoms (fractional coordinates):
Co (0.2500, 0.2500, 0.2500)  6 Re 2.57, 6 Co 2.68
Li (0.7500, 0.7500, 0.7500)  6 Li 2.68, 6 Re 2.88
Re (0.9931, 0.9931, 0.9931)  3 Co 2.57, 6 Re 2.68, 3 Li 2.88
Re (0.5069, 0.5069, 0.5069)  3 Co 2.57, 6 Re 2.68, 3 Li 2.88



## ii
Entry from the Alexandria database: a relaxed structure of LiCoRe2 (PBE).

Summary:
Space group   No. 35

a b c (Å): 2.6304 2.6304 8.8022
angles (deg): 90.00 90.00 111.88
With the nearest neighbours (Å) after each atom.
Atoms (fractional coordinates):
Re (0.5000, 0.5000, 0.2611)  2 Co 2.53, 6 Re 2.63-2.69
Re (0.0000, 0.0000, 0.0056)  6 Re 2.63-2.69, 2 Li 2.77
Co (0.0000, 0.0000, 0.4941)  2 Re 2.53, 2 Li 2.61, 4 Co 2.63
Li (0.5000, 0.5000, 0.7392)  2 Co 2.61, 4 Li 2.63, 2 Re 2.77



Verdict on stability: ii comes out at the bottom.